Material: TbPa
Method: DFT, PBE
State: optimized geometry

a = 4.3691 Å, b = 4.3691 Å, c = 4.3691 Å
α = 60.00°, β = 60.00°, γ = 60.00°
Each line ends with the local moment (μB).
Positions (direct):
Pa 0.0000 0.0000 0.0000  1.13
Tb 0.5000 0.5000 0.5000  0.45


Material: TbPa
Method: DFT, PBE
State: optimized geometry

a = 4.5209 Å, b = 4.5209 Å, c = 4.5209 Å
α = 60.00°, β = 60.00°, γ = 60.00°
Each line ends with the local moment (μB).
Positions (direct):
Pa 0.0000 0.0000 0.0000  0.67
Tb 0.2500 0.2500 0.2500  0.26


Material: TbPa
Method: DFT, PBE
State: optimized geometry

a = 3.6566 Å, b = 3.6566 Å, c = 8.8179 Å
α = 90.00°, β = 90.00°, γ = 120.00°
Each line ends with the local moment (μB).
Positions (direct):
Tb 0.0000 0.0000 0.0000  0.07
Tb 0.0000 0.0000 0.5000  0.08
Pa 0.6667 0.3333 0.2500  0.22
Pa 0.3333 0.6667 0.7500  0.22


Material: Tb2Pa
Method: DFT, PBE
State: optimized geometry

a = 8.9808 Å, b = 8.9808 Å, c = 8.9808 Å
α = 60.00°, β = 60.00°, γ = 60.00°
Each line ends with the local moment (μB).
Positions (direct):
Tb 0.8750 0.3750 0.3750  0.01
Tb 0.3750 0.3750 0.3750  0.03
Tb 0.3750 0.8750 0.3750  0.03
Tb 0.3750 0.3750 0.8750  0.03
Pa 0.2500 0.2500 0.2500  0.14
Pa 0.5000 0.5000 0.5000  0.14


Material: TbPa
Method: DFT, PBE
State: optimized geometry

a = 5.3197 Å, b = 5.3197 Å, c = 5.3776 Å
α = 90.00°, β = 90.00°, γ = 120.00°
Each line ends with the local moment (μB).
Positions (direct):
Pa 0.0000 0.0000 0.5000  1.39
Pa 0.0000 0.0000 0.0000  1.41
Tb 0.6667 0.3333 0.2500  0.09
Tb 0.3333 0.6667 0.7500  0.09


Material: TbThPa
Method: DFT, PBE
State: optimized geometry

a = 5.2365 Å, b = 5.2365 Å, c = 5.2365 Å
α = 60.00°, β = 60.00°, γ = 60.00°
Positions (direct):
Th 0.7500 0.7500 0.7500
Pa 0.0000 0.0000 0.0000
Tb 0.2500 0.2500 0.2500


| no. | energy (eV per atom) |
| --- | --- |
| 1 | -5.774 |
| 2 | -4.831 |
| 3 | -6.081 |
| 4 | -3.683 |
| 5 | -6.061 |
| 6 | -6.174 |